Material: MnTe2
Method: DFT, SCAN
State: PBEsol geometry

abc: 7.099 7.099 5.602
angles: 90.00 90.00 149.06
Element x y z (fractional)
Mn  0.178  0.822  0.750
Mn  0.822  0.178  0.250
Te  0.185  0.815  0.250
Te  0.453  0.547  0.250
Te  0.547  0.453  0.750
Te  0.815  0.185  0.750

Values from the calculation:
uncorrected formation energy = -0.35 eV per atom
total DFT energy (no corrections) = -31.270 eV/atom
size of the total moment = 6.969 μB per cell
N(E_F) = 1.70 states/eV/f.u.
space group = Cmcm (63)

Material: MnTe2
Method: DFT, SCAN
State: PBEsol geometry

abc: 13.898 13.898 13.898
angles: 166.98 166.98 18.45
Element x y z (fractional)
Mn  0.375  0.625  0.750
Mn  0.625  0.375  0.250
Te  0.067  0.817  0.250
Te  0.183  0.933  0.250
Te  0.817  0.067  0.750
Te  0.933  0.183  0.750

Values from the calculation:
uncorrected formation energy = 0.11 eV per atom
total DFT energy (no corrections) = -30.806 eV/atom
size of the total moment = 5.234 μB per cell
N(E_F) = 2.51 states/eV/f.u.
space group = I4_1/amd (141)

Material: Mn2Te3
Method: DFT, SCAN
State: PBEsol geometry

abc: 9.479 9.479 9.479
angles: 23.55 23.55 23.55
Element x y z (fractional)
Mn  0.105  0.105  0.105
Mn  0.895  0.895  0.895
Te  0.281  0.281  0.281
Te  0.500  0.500  0.500
Te  0.719  0.719  0.719

Values from the calculation:
uncorrected formation energy = -0.47 eV per atom
total DFT energy (no corrections) = -30.127 eV/atom
size of the total moment = 8.011 μB per cell
N(E_F) = 1.30 states/eV/f.u.
space group = R-3m (166)

Material: Mn3Te2
Method: DFT, SCAN
State: PBEsol geometry

abc: 7.798 7.798 7.798
angles: 27.40 27.40 27.40
Element x y z (fractional)
Mn  0.000  0.000  0.000
Mn  0.181  0.181  0.181
Mn  0.819  0.819  0.819
Te  0.415  0.415  0.415
Te  0.585  0.585  0.585

Values from the calculation:
uncorrected formation energy = 0.26 eV per atom
total DFT energy (no corrections) = -25.594 eV/atom
size of the total moment = 5.600 μB per cell
N(E_F) = 3.47 states/eV/f.u.
space group = R-3m (166)

Material: Mn5Te
Method: DFT, SCAN
State: PBEsol geometry

abc: 5.560 5.560 3.714
angles: 90.00 90.00 140.75
Element x y z (fractional)
Mn  0.000  0.000  0.000
Mn  0.182  0.818  0.500
Mn  0.314  0.686  0.000
Mn  0.686  0.314  0.000
Mn  0.818  0.182  0.500
Te  0.500  0.500  0.500

Values from the calculation:
uncorrected formation energy = 0.10 eV per atom
total DFT energy (no corrections) = -21.324 eV/atom
size of the total moment = 3.156 μB per cell
N(E_F) = 5.26 states/eV/f.u.
space group = Cmmm (65)

Material: Mn2Te
Method: DFT, SCAN
State: PBEsol geometry

abc: 3.597 3.597 4.104
angles: 90.00 90.00 120.00
Element x y z (fractional)
Mn  0.333  0.667  0.427
Mn  0.667  0.333  0.573
Te  0.000  0.000  0.000

Values from the calculation:
uncorrected formation energy = 0.66 eV per atom
total DFT energy (no corrections) = -23.928 eV/atom
size of the total moment = 0.000 μB per cell
N(E_F) = 1.79 states/eV/f.u.
space group = P-3m1 (164)

Material: MnTe2
Method: DFT, SCAN
State: PBEsol geometry

abc: 3.630 3.630 12.316
angles: 90.00 90.00 120.00
Element x y z (fractional)
Mn  0.000  0.000  0.250
Mn  0.000  0.000  0.750
Te  0.333  0.667  0.120
Te  0.333  0.667  0.380
Te  0.667  0.333  0.620
Te  0.667  0.333  0.880

Values from the calculation:
uncorrected formation energy = -0.30 eV per atom
total DFT energy (no corrections) = -31.217 eV/atom
size of the total moment = 6.157 μB per cell
N(E_F) = 1.08 states/eV/f.u.
space group = P6_3/mmc (194)

Material: TiMnTe2
Method: DFT, SCAN
State: PBEsol geometry

abc: 7.503 7.503 7.503
angles: 131.08 131.08 71.68
Element x y z (fractional)
Ti  0.000  0.000  0.000
Ti  0.750  0.250  0.500
Mn  0.250  0.750  0.500
Mn  0.500  0.500  0.000
Te  0.131  0.625  0.006
Te  0.375  0.381  0.506
Te  0.619  0.125  0.994
Te  0.875  0.869  0.494

Values from the calculation:
uncorrected formation energy = -0.42 eV per atom
total DFT energy (no corrections) = -27.616 eV/atom
size of the total moment = 13.874 μB per cell
N(E_F) = 2.22 states/eV/f.u.
space group = I-42d (122)